a:
Here is crystalline PmPu2Al at its relaxed geometry from Alexandria via LeMat-Bulk. Energies are from PBE.

Cell: 3.7856 3.7856 7.3482 Å, 90.00 90.00 90.00°
Element x y z (fractional)
Pu: 0.0000 0.0000 0.2040
Pm: 0.5000 0.5000 0.5000
Al: 0.5000 0.5000 0.0000
Pu: 0.0000 0.0000 0.7960

- DOS(E_F): 12.52 states/eV/cell


b:
Here is crystalline PmPu2Al at its relaxed geometry from Alexandria via LeMat-Bulk. Energies are from PBE.

Cell: 5.0338 4.5048 4.5048 Å, 90.00 90.00 90.00°
Element x y z (fractional)
Pm: 0.5000 0.5000 0.5000
Al: 0.5000 0.0000 0.0000
Pu: 0.0000 0.0000 0.5000
Pu: 0.0000 0.5000 0.0000

- DOS(E_F): 10.43 states/eV/cell


The structure with the most favorable energy is b; the runner-up is 128 meV per atom above it.